[1]
Cu2Ag | OQMD via LeMat-Bulk | GGA-PBE | optimized geometry; crystal system = orthorhombic; offset from the most stable computed form = 0.16 eV/f.u.; energy of formation from the pure elements = 0.100 eV/atom
1.0
-1.369 4.040 5.675
1.369 -4.040 5.675
1.369 4.040 -5.675
Cu Ag
6 3
Cartesian
0.000 0.000 0.000 Cu
1.369 1.264 1.721 Cu
0.000 0.000 3.661 Cu
1.369 -1.351 5.561 Cu
1.369 1.351 5.561 Cu
0.000 2.776 7.396 Cu
1.369 1.420 -1.956 Ag
0.000 0.000 7.346 Ag
0.000 2.621 3.718 Ag

=====

[2]
BeCoBAu | OQMD via LeMat-Bulk | GGA-PBE | optimized geometry; crystal system = cubic; offset from the most stable computed form = 1.31 eV/f.u.
1.0
0.000 2.809 2.809
2.809 0.000 2.809
2.809 2.809 0.000
Be Co B Au
1 1 1 1
Cartesian
0.000 0.000 0.000 Be
2.809 2.809 2.809 Co
1.405 1.405 1.405 B
4.214 4.214 4.214 Au

=====

[3]
TcSbNO | OQMD via LeMat-Bulk | GGA-PBE | optimized geometry; crystal system = orthorhombic; offset from the most stable computed form = 0.00 eV/f.u.
1.0
2.964 0.000 0.000
0.000 6.118 0.000
0.000 0.000 6.839
Tc Sb N O
2 2 2 2
Cartesian
0.000 0.353 0.000 Tc
0.000 5.765 3.420 Tc
1.482 2.068 2.800 Sb
1.482 4.050 6.220 Sb
1.482 1.341 0.799 N
1.482 4.777 4.218 N
0.000 0.914 5.078 O
0.000 5.204 1.658 O

=====

[4]
Cu15As | OQMD via LeMat-Bulk | GGA-PBE | optimized geometry; crystal system = orthorhombic; offset from the most stable computed form = 0.18 eV/f.u.
1.0
7.249 0.000 0.000
0.000 41.981 0.000
0.000 0.000 3.599
Cu As
60 4
Cartesian
0.858 7.483 0.000 Cu
0.858 34.499 1.799 Cu
0.892 9.292 1.799 Cu
0.892 32.689 0.000 Cu
0.902 12.892 1.799 Cu
0.902 29.089 0.000 Cu
0.903 11.096 0.000 Cu
0.907 14.689 0.000 Cu
0.906 16.488 1.799 Cu
0.906 18.289 0.000 Cu
0.906 20.090 1.799 Cu
0.906 21.892 0.000 Cu
0.906 23.693 1.799 Cu
0.906 25.493 0.000 Cu
0.907 27.292 1.799 Cu
0.903 30.885 1.799 Cu
2.711 11.112 1.799 Cu
2.711 30.870 0.000 Cu
2.716 12.883 0.000 Cu
2.719 14.685 1.799 Cu
2.718 16.487 0.000 Cu
2.718 18.288 1.799 Cu
2.718 20.090 0.000 Cu
2.718 21.891 1.799 Cu
2.718 23.693 0.000 Cu
2.718 25.494 1.799 Cu
2.719 27.297 0.000 Cu
2.716 29.098 1.799 Cu
2.723 9.328 0.000 Cu
2.723 32.653 1.799 Cu
4.526 9.328 1.799 Cu
4.526 32.653 0.000 Cu
4.533 12.883 1.799 Cu
4.530 14.685 0.000 Cu
4.530 16.487 1.799 Cu
4.531 18.288 0.000 Cu
4.531 20.090 1.799 Cu
4.531 21.891 0.000 Cu
4.531 23.693 1.799 Cu
4.530 25.494 0.000 Cu
4.530 27.297 1.799 Cu
4.533 29.098 0.000 Cu
4.538 11.112 0.000 Cu
4.538 30.870 1.799 Cu
6.346 11.096 1.799 Cu
6.342 14.689 1.799 Cu
6.343 16.488 0.000 Cu
6.343 18.289 1.799 Cu
6.343 20.090 0.000 Cu
6.343 21.892 1.799 Cu
6.343 23.693 0.000 Cu
6.343 25.493 1.799 Cu
6.342 27.292 0.000 Cu
6.346 30.885 0.000 Cu
6.347 12.892 0.000 Cu
6.347 29.089 1.799 Cu
6.357 9.292 0.000 Cu
6.357 32.689 1.799 Cu
6.391 7.483 1.799 Cu
6.391 34.499 0.000 Cu
2.496 7.358 1.799 As
2.496 34.623 0.000 As
4.753 7.358 0.000 As
4.753 34.623 1.799 As

=====

[5]
Er3NO2 | OQMD via LeMat-Bulk | GGA-PBE | optimized geometry; crystal system = monoclinic; E_tot = -44.355 eV per formula unit
1.0
1.604 -3.271 0.000
1.604 3.271 0.000
-0.053 0.000 9.713
Er N O
3 1 2
Cartesian
0.000 0.000 0.000 Er
-0.017 0.000 6.431 Er
3.172 0.000 3.282 Er
1.577 0.000 4.856 N
1.593 0.000 1.578 O
1.562 0.000 8.135 O

=====

[6]
Sm2YFe2B2N3 | OQMD via LeMat-Bulk | GGA-PBE | optimized geometry; crystal system = tetragonal; E_tot = -81.700 eV per formula unit
1.0
-1.754 1.754 10.260
1.754 -1.754 10.260
1.754 1.754 -10.260
Sm Y Fe B N
2 1 2 2 3
Cartesian
0.000 0.000 2.528 Sm
0.000 0.000 17.993 Sm
0.000 0.000 10.260 Y
1.754 0.000 5.130 Fe
0.000 1.754 5.130 Fe
0.000 0.000 6.400 B
0.000 0.000 14.121 B
0.000 0.000 0.000 N
0.000 0.000 7.884 N
0.000 0.000 12.637 N

=====

[7]
NdErBe | OQMD via LeMat-Bulk | GGA-PBE | optimized geometry; crystal system = cubic; E_tot = -10.525 eV per formula unit
1.0
0.000 3.379 3.379
3.379 0.000 3.379
3.379 3.379 0.000
Nd Er Be
1 1 1
Cartesian
0.000 0.000 0.000 Nd
5.069 5.069 5.069 Er
3.379 3.379 3.379 Be

=====

[8]
NbBPO | OQMD via LeMat-Bulk | GGA-PBE | optimized geometry; crystal system = tetragonal; offset from the most stable computed form = 2.76 eV/f.u.
1.0
3.593 0.000 0.000
0.000 3.593 0.000
0.000 0.000 8.489
Nb B P O
2 2 2 2
Cartesian
0.898 2.695 0.000 Nb
2.695 0.898 0.000 Nb
0.898 0.898 3.682 B
2.695 2.695 4.807 B
0.898 0.898 1.775 P
2.695 2.695 6.715 P
0.898 2.695 4.245 O
2.695 0.898 4.245 O

=====

[9]
LaPr2Sn4Pb3 | OQMD via LeMat-Bulk | GGA-PBE | optimized geometry; crystal system = orthorhombic; E_tot = -47.169 eV per formula unit
1.0
2.324 -13.063 0.000
2.324 13.063 0.000
0.000 0.000 4.810
La Pr Sn Pb
1 2 4 3
Cartesian
0.000 0.000 0.000 La
2.324 8.158 0.000 Pr
2.324 -8.158 0.000 Pr
2.324 5.485 2.405 Sn
2.324 2.510 0.000 Sn
2.324 -2.510 0.000 Sn
2.324 -5.485 2.405 Sn
2.324 10.513 2.405 Pb
2.324 0.000 2.405 Pb
2.324 -10.513 2.405 Pb

=====

[10]
Y4CdB3 | OQMD via LeMat-Bulk | GGA-PBE | optimized geometry; crystal system = hexagonal; E_tot = -45.945 eV per formula unit
1.0
3.630 0.000 0.000
-1.815 3.143 0.000
0.000 0.000 30.295
Y Cd B
8 2 6
Cartesian
0.000 0.000 4.897 Y
0.000 0.000 10.251 Y
0.000 0.000 20.045 Y
0.000 0.000 25.398 Y
0.000 2.096 1.669 Y
0.000 2.096 13.479 Y
1.815 1.048 16.817 Y
1.815 1.048 28.626 Y
0.000 2.096 7.574 Cd
1.815 1.048 22.722 Cd
0.000 0.000 0.000 B
0.000 0.000 15.148 B
0.000 2.096 18.584 B
0.000 2.096 26.859 B
1.815 1.048 3.436 B
1.815 1.048 11.711 B

=====

[11]
Y2Zr | OQMD via LeMat-Bulk | GGA-PBE | optimized geometry; crystal system = cubic; offset from the most stable computed form = 6.82 eV/f.u.; energy of formation from the pure elements = 2.380 eV/atom
1.0
0.000 6.296 6.296
6.296 0.000 6.296
6.296 6.296 0.000
Y Zr
4 2
Cartesian
0.000 0.000 0.000 Y
3.148 3.148 0.000 Y
3.148 0.000 3.148 Y
0.000 3.148 3.148 Y
1.574 1.574 1.574 Zr
11.019 11.019 11.019 Zr

=====

[12]
GdTmGa2Co4 | OQMD via LeMat-Bulk | GGA-PBE | optimized geometry; crystal system = hexagonal; E_tot = -45.928 eV per formula unit
1.0
4.129 0.000 0.000
-2.065 3.576 0.000
0.000 0.000 9.101
Gd Tm Ga Co
1 1 2 4
Cartesian
0.000 0.000 0.000 Gd
0.000 2.384 4.550 Tm
2.065 1.192 2.326 Ga
2.065 1.192 6.775 Ga
0.000 0.000 2.707 Co
0.000 0.000 6.393 Co
0.000 2.384 1.949 Co
0.000 2.384 7.152 Co